Entry from the Alexandria database: an optimized crystal structure of MgBiNF2 (PBE).

Structure (extended XYZ):
```
5
Lattice="3.7557 0.0000 0.0000 0.0000 3.7557 0.0000 0.0000 0.0000 4.7694" Properties=species:S:1:pos:R:3 pbc="T T T"
Mg 0.0000 0.0000 0.0000
Bi 1.8779 1.8779 2.3847
N 0.0000 0.0000 2.3847
F 0.0000 1.8779 0.0000
F 1.8779 0.0000 0.0000
```

Computed properties:
uncorrected formation energy	-1454	meV per atom
SG	No. 123
total magnetic moment	0.0	Bohr magnetons per cell
N(E_F)	0.5	states/eV/f.u.